# 1
## MgSbTe2 (PBE-GGA)

Data for a relaxed structure of MgSbTe2.

Geometry as POSCAR:
```
MgSbTe2
1.0
3.478 0.000 0.000
0.000 3.478 0.000
0.000 0.000 9.488
Mg Sb Te
1 1 2
direct
0.000 0.000 0.000
0.500 0.500 0.209
0.000 0.000 0.440
0.500 0.500 0.814
```

Calculated values
Formation energy from raw total energies (meV/atom): -9


# 2
## Li3Ac2Rh4 (PBE-GGA)

Data for a relaxed structure of Li3Ac2Rh4.

Geometry as POSCAR:
```
Li3Ac2Rh4
1.0
2.893 -8.086 0.000
2.893 8.086 0.000
0.000 0.000 7.290
Li Ac Rh
6 4 8
direct
0.000 0.000 0.000
0.024 0.476 0.250
0.476 0.024 0.750
0.500 0.500 0.500
0.524 0.976 0.250
0.976 0.524 0.750
0.108 0.892 0.408
0.392 0.608 0.908
0.608 0.392 0.092
0.892 0.108 0.592
0.164 0.836 0.005
0.182 0.318 0.250
0.318 0.182 0.750
0.336 0.664 0.505
0.664 0.336 0.495
0.682 0.818 0.250
0.818 0.682 0.750
0.836 0.164 0.995
```

Calculated values
Formation enthalpy at 0 K (eV/atom): -0.3009


# 3
## Rb6Br2ClF3 (PBE-GGA)

Data for a relaxed structure of Rb6Br2ClF3.

Geometry as POSCAR:
```
Rb6Br2ClF3
1.0
9.810 -2.199 0.000
9.810 2.199 0.000
-2.283 0.000 8.750
Rb Br Cl F
6 2 1 3
direct
0.009 0.009 0.234
0.327 0.327 0.446
0.345 0.345 0.890
0.655 0.655 0.110
0.673 0.673 0.554
0.991 0.991 0.766
0.167 0.167 0.833
0.833 0.833 0.167
0.500 0.500 0.500
0.165 0.165 0.335
0.500 0.500 0.000
0.835 0.835 0.665
```

Calculated values
Formation energy from raw total energies (meV/atom): -2193